# 1
Computed, not measured: crystalline Pr2GeMoO8 at its relaxed geometry at the PBE with a Hubbard U level of DFT.

Properties
Total magnetization: 4.00 μB/f.u.
Symmetry: P-3m1 (164)
Energy: -79.31 eV/f.u.

Lattice parameters (Å, degrees): 5.654 5.654 5.648 90.00 90.00 120.00
Element x y z (fractional)
O: 0.151 0.301 0.209
O: 0.151 0.849 0.209
O: 0.849 0.699 0.791
O: 0.333 0.667 0.516
O: 0.667 0.333 0.484
O: 0.301 0.151 0.791
O: 0.699 0.849 0.209
O: 0.849 0.151 0.791
Ge: 0.000 0.000 0.000
Pr: 0.333 0.667 0.878
Pr: 0.667 0.333 0.122
Mo: 0.000 0.000 0.500

# 2
Computed, not measured: crystalline Rb2GeMoO6 at its relaxed geometry at the PBE with a Hubbard U level of DFT.

Properties
Total magnetization: 0.00 μB/f.u.
Symmetry: Fm-3m (225)
Energy: -58.35 eV/f.u.

Lattice parameters (Å, degrees): 5.608 5.608 5.608 59.99 59.99 89.99
Element x y z (fractional)
O: 0.750 0.250 0.000
O: 0.250 0.750 0.000
O: 0.250 0.250 0.501
O: 0.751 0.751 0.000
O: 0.249 0.249 0.000
O: 0.750 0.750 0.499
Rb: 0.250 0.750 0.500
Rb: 0.750 0.250 0.500
Mo: 0.000 0.000 0.000
Ge: 0.500 0.500 0.000

# 3
Computed, not measured: crystalline RbGeMoO4 at its relaxed geometry at the PBE with a Hubbard U level of DFT.

Properties
Total magnetization: 3.00 μB/f.u.
Symmetry: F-43m (216)
Energy: -41.86 eV/f.u.

Lattice parameters (Å, degrees): 6.190 6.190 6.190 60.00 60.00 60.00
Element x y z (fractional)
Mo: 0.500 0.500 0.500
O: 0.368 0.368 0.895
O: 0.895 0.368 0.368
O: 0.368 0.895 0.368
O: 0.368 0.368 0.368
Rb: 0.750 0.750 0.750
Ge: 0.250 0.250 0.250

# 4
Computed, not measured: crystalline RbGe2MoO8 at its relaxed geometry at the PBE with a Hubbard U level of DFT.

Properties
Total magnetization: 1.07 μB/f.u.
Symmetry: C2/m (12)
Energy: -74.29 eV/f.u.

Lattice parameters (Å, degrees): 5.261 5.261 8.048 78.09 78.10 64.74
Element x y z (fractional)
Mo: 0.000 0.000 0.000
O: 0.780 0.780 0.060
O: 0.373 0.373 0.577
O: 0.220 0.220 0.940
O: 0.240 0.754 0.173
O: 0.760 0.246 0.827
O: 0.754 0.240 0.173
O: 0.246 0.760 0.827
O: 0.627 0.627 0.423
Ge: 0.402 0.402 0.784
Ge: 0.598 0.598 0.216
Rb: 0.000 0.000 0.500

Which of these has the lowest energy?
Pr2GeMoO8

Look up the energy of the first one.
-79.31 eV/f.u.